1.
# Ac2CeAs2O2 PBE optimized geometry
data_Ac2CeAs2O2
_chemical_formula_sum 'Ac2 Ce1 As2 O2'
_space_group_name_H-M_alt 'P 1'
_space_group_IT_number 1
_cell_length_a 4.4931
_cell_length_b 4.4931
_cell_length_c 8.9249
_cell_angle_alpha 104.58
_cell_angle_beta 104.58
_cell_angle_gamma 90.00
loop_
_space_group_symop_operation_xyz
'x,y,z'
loop_
_atom_site_label
_atom_site_type_symbol
_atom_site_fract_x
_atom_site_fract_y
_atom_site_fract_z
As1 As 0.8260 0.8260 0.6519
As2 As 0.1740 0.1740 0.3481
Ac1 Ac 0.6392 0.6392 0.2785
Ac2 Ac 0.3608 0.3608 0.7215
Ce1 Ce 0.0000 0.0000 0.0000
O1 O 0.5000 0.0000 0.0000
O2 O 0.0000 0.5000 0.0000
# Magnetic moment = 0.09 μB/f.u.
# Space group = I4/mmm (139)
# DFT total energy = -6.955 eV/atom
# Formation energy (no corrections) = -2188 meV per atom

2.
# CsKRb2Au PBE optimized geometry
data_CsKRb2Au
_chemical_formula_sum 'Cs1 K1 Rb2 Au1'
_space_group_name_H-M_alt 'P 1'
_space_group_IT_number 1
_cell_length_a 7.0154
_cell_length_b 7.0154
_cell_length_c 7.1777
_cell_angle_alpha 90.00
_cell_angle_beta 90.00
_cell_angle_gamma 90.00
loop_
_space_group_symop_operation_xyz
'x,y,z'
loop_
_atom_site_label
_atom_site_type_symbol
_atom_site_fract_x
_atom_site_fract_y
_atom_site_fract_z
K1 K 0.5000 0.5000 0.5000
Au1 Au 0.0000 0.0000 0.0000
Rb1 Rb 0.0000 0.5000 0.0000
Rb2 Rb 0.5000 0.0000 0.0000
Cs1 Cs 0.0000 0.0000 0.5000
# Magnetic moment = 0.10 μB/f.u.
# Space group = P4/mmm (123)
# DFT total energy = -1.548 eV/atom
# Excess energy over the best structure of this formula in the dataset = 0.000 eV/atom
# Energy relative to the elements = -0.115 eV per atom

3.
# Sr3Pb4O8 PBE optimized geometry
data_Sr3Pb4O8
_chemical_formula_sum 'Sr3 Pb4 O8'
_space_group_name_H-M_alt 'P 1'
_space_group_IT_number 1
_cell_length_a 7.3414
_cell_length_b 7.3385
_cell_length_c 7.3385
_cell_angle_alpha 90.06
_cell_angle_beta 120.09
_cell_angle_gamma 120.09
loop_
_space_group_symop_operation_xyz
'x,y,z'
loop_
_atom_site_label
_atom_site_type_symbol
_atom_site_fract_x
_atom_site_fract_y
_atom_site_fract_z
O1 O 0.5000 0.7446 0.2554
O2 O 0.9940 0.7799 0.7799
O3 O 0.0000 0.2180 0.7820
O4 O 0.4368 0.2204 0.2204
O5 O 0.0000 0.7820 0.2180
O6 O 0.0060 0.2201 0.2201
O7 O 0.5632 0.7796 0.7796
O8 O 0.5000 0.2554 0.7446
Sr1 Sr 0.5000 0.5000 0.0000
Sr2 Sr 0.5000 0.5000 0.5000
Sr3 Sr 0.5000 0.0000 0.5000
Pb1 Pb 0.5000 0.0000 0.0000
Pb2 Pb 0.0000 0.5000 0.0000
Pb3 Pb 0.0000 0.0000 0.0000
Pb4 Pb 0.0000 0.0000 0.5000
# Magnetic moment = 0.00 μB/f.u.
# Space group = C2/m (12)
# DFT total energy = -5.673 eV/atom
# Formation energy (no corrections) = -1703 meV per atom

Which of these has the lowest DFT total energy?
Ac2CeAs2O2

What is the formula in the first record?
Ac2CeAs2O2